Entry 1:
Entry from Alexandria via LeMat-Bulk: a relaxed structure of La4Y3Sc (PBE).

Cell lengths 25.202, 3.445, 6.196 Å; angles 90.00, 93.80, 90.00 degrees
Fractional coordinates of all 16 atoms:
La1 0.102 0.000 0.221
La2 0.219 0.500 0.243
La3 0.281 0.000 0.757
La4 0.398 0.500 0.779
La5 0.602 0.500 0.221
La6 0.719 0.000 0.243
La7 0.781 0.500 0.757
La8 0.898 0.000 0.779
Y1 0.000 0.000 0.500
Y2 0.141 0.000 0.730
Y3 0.359 0.500 0.270
Y4 0.500 0.500 0.500
Y5 0.641 0.500 0.730
Y6 0.859 0.000 0.270
Sc1 0.000 0.500 0.000
Sc2 0.500 0.000 0.000

Results
Crystal system ... monoclinic
Calculated formation energy ... 0.23 eV per atom
Space-group type ... C2/m (12)

***

Entry 2:
Entry from Alexandria via LeMat-Bulk: a relaxed structure of Si2AsOs (PBE).

Cell lengths 3.044, 3.044, 22.944 Å; angles 90.00, 90.00, 120.00 degrees
Fractional coordinates of all 12 atoms:
Si1 0.000 0.000 0.000
Si2 0.000 0.000 0.253
Si3 0.333 0.667 0.667
Si4 0.333 0.667 0.920
Si5 0.667 0.333 0.333
Si6 0.667 0.333 0.587
As1 0.000 0.000 0.493
As2 0.333 0.667 0.159
As3 0.667 0.333 0.826
Os1 0.000 0.000 0.744
Os2 0.333 0.667 0.411
Os3 0.667 0.333 0.077

Results
Crystal system ... trigonal
Formation energy without anion corrections ... 270 meV/atom
Space-group type ... R3m (160)

***

Entry 3:
Entry from Alexandria via LeMat-Bulk: a relaxed structure of AlAg7 (PBE).

Cell lengths 9.894, 2.934, 9.963 Å; angles 90.00, 103.15, 90.00 degrees
Fractional coordinates of all 16 atoms:
Al1 0.000 0.000 0.000
Al2 0.500 0.500 0.000
Ag1 0.000 0.000 0.500
Ag2 0.012 0.500 0.762
Ag3 0.231 0.500 0.119
Ag4 0.246 0.000 0.374
Ag5 0.254 0.500 0.626
Ag6 0.269 0.000 0.881
Ag7 0.488 0.000 0.238
Ag8 0.500 0.500 0.500
Ag9 0.512 0.000 0.762
Ag10 0.731 0.000 0.119
Ag11 0.746 0.500 0.374
Ag12 0.754 0.000 0.626
Ag13 0.769 0.500 0.881
Ag14 0.988 0.500 0.238

Results
Polymorph energy (0 for the lowest one) ... 8 meV/atom
Crystal system ... monoclinic
Calculated formation energy ... -0.02 eV per atom
Space-group type ... C2/m (12)

***

Entry 4:
Entry from Alexandria via LeMat-Bulk: a relaxed structure of Na2Pm2Br7 (PBE).

Cell lengths 7.678, 7.678, 7.198 Å; angles 93.66, 93.66, 71.72 degrees
Fractional coordinates of all 11 atoms:
Na1 0.223 0.777 0.000
Na2 0.777 0.223 0.000
Pm1 0.267 0.267 0.560
Pm2 0.733 0.733 0.440
Br1 0.010 0.589 0.747
Br2 0.076 0.076 0.750
Br3 0.411 0.990 0.253
Br4 0.500 0.500 0.500
Br5 0.589 0.010 0.747
Br6 0.924 0.924 0.250
Br7 0.990 0.411 0.253

Results
Polymorph energy (0 for the lowest one) ... 32 meV/atom
Crystal system ... monoclinic
Formation energy without anion corrections ... -1580 meV/atom
Space-group type ... C2/m (12)

***

Entry 5:
Entry from Alexandria via LeMat-Bulk: a relaxed structure of SmAl4IrPd2 (PBE).

Cell lengths 9.269, 9.269, 9.269 Å; angles 26.62, 26.62, 26.62 degrees
Fractional coordinates of all 8 atoms:
Sm1 0.000 0.000 0.000
Al1 0.134 0.134 0.134
Al2 0.404 0.404 0.404
Al3 0.596 0.596 0.596
Al4 0.866 0.866 0.866
Ir1 0.500 0.500 0.500
Pd1 0.234 0.234 0.234
Pd2 0.766 0.766 0.766

Results
Crystal system ... trigonal
Calculated formation energy ... -0.78 eV per atom
Space-group type ... R-3m (166)

***

Entry 6:
Entry from Alexandria via LeMat-Bulk: a relaxed structure of Sn3PtO (PBE).

Cell lengths 5.190, 5.190, 5.190 Å; angles 90.00, 90.00, 90.00 degrees
Fractional coordinates of all 5 atoms:
Sn1 0.000 0.000 0.500
Sn2 0.000 0.500 0.000
Sn3 0.500 0.000 0.000
Pt1 0.000 0.000 0.000
O1 0.500 0.500 0.500

Results
Polymorph energy (0 for the lowest one) ... 519 meV/atom
Crystal system ... cubic
Formation energy without anion corrections ... 346 meV/atom
Space-group type ... Pm-3m (221)

***

Entry 7:
Entry from Alexandria via LeMat-Bulk: a relaxed structure of Cd2Bi2Pb5 (PBE).

Cell lengths 8.376, 8.376, 5.989 Å; angles 99.61, 99.61, 41.69 degrees
Fractional coordinates of all 9 atoms:
Cd1 0.221 0.221 0.107
Cd2 0.779 0.779 0.893
Bi1 0.331 0.331 0.693
Bi2 0.669 0.669 0.307
Pb1 0.000 0.000 0.000
Pb2 0.117 0.117 0.541
Pb3 0.438 0.438 0.221
Pb4 0.562 0.562 0.779
Pb5 0.883 0.883 0.459

Results
Crystal system ... monoclinic
Calculated formation energy ... 0.05 eV per atom
Space-group type ... C2/m (12)

***

Entry 8:
Entry from Alexandria via LeMat-Bulk: a relaxed structure of Sb2TeMoCl (PBE).

Cell lengths 5.186, 5.186, 5.427 Å; angles 90.00, 90.00, 90.00 degrees
Fractional coordinates of all 5 atoms:
Sb1 0.000 0.500 0.000
Sb2 0.500 0.000 0.000
Te1 0.000 0.000 0.500
Mo1 0.500 0.500 0.500
Cl1 0.000 0.000 0.000

Results
Polymorph energy (0 for the lowest one) ... 1058 meV/atom
Crystal system ... tetragonal
Formation energy without anion corrections ... 1278 meV/atom
Space-group type ... P4/mmm (123)

***

Entry 9:
Entry from Alexandria via LeMat-Bulk: a relaxed structure of ZrPaIr4 (PBE).

Cell lengths 5.317, 5.317, 5.317 Å; angles 60.00, 60.00, 60.00 degrees
Fractional coordinates of all 6 atoms:
Zr1 0.000 0.000 0.000
Pa1 0.750 0.750 0.750
Ir1 0.375 0.375 0.375
Ir2 0.375 0.375 0.876
Ir3 0.375 0.876 0.375
Ir4 0.876 0.375 0.375

Results
Crystal system ... cubic
Calculated formation energy ... -0.70 eV per atom
Space-group type ... F-43m (216)

***

Entry 10:
Entry from Alexandria via LeMat-Bulk: a relaxed structure of LaCe3Pm2N6 (PBE).

Cell lengths 6.250, 6.250, 6.246 Å; angles 99.60, 99.60, 119.99 degrees
Fractional coordinates of all 12 atoms:
La1 0.000 0.000 0.000
Ce1 0.167 0.833 0.500
Ce2 0.500 0.500 0.500
Ce3 0.833 0.167 0.500
Pm1 0.333 0.667 0.000
Pm2 0.667 0.333 0.000
N1 0.089 0.428 0.266
N2 0.251 0.251 0.734
N3 0.428 0.089 0.266
N4 0.572 0.911 0.734
N5 0.749 0.749 0.266
N6 0.911 0.572 0.734

Results
Crystal system ... monoclinic
Formation energy without anion corrections ... -1465 meV/atom
Space-group type ... C2/m (12)

***

Entry 11:
Entry from Alexandria via LeMat-Bulk: a relaxed structure of KAlN2F (PBE).

Cell lengths 3.785, 3.785, 4.549 Å; angles 90.00, 90.00, 90.00 degrees
Fractional coordinates of all 5 atoms:
K1 0.000 0.000 0.000
Al1 0.500 0.500 0.500
N1 0.000 0.500 0.500
N2 0.500 0.000 0.500
F1 0.500 0.500 0.000

Results
Polymorph energy (0 for the lowest one) ... 0 meV/atom
Crystal system ... tetragonal
Formation energy without anion corrections ... -484 meV/atom
Space-group type ... P4/mmm (123)

***

Entry 12:
Entry from Alexandria via LeMat-Bulk: a relaxed structure of VRe2H (PBE).

Cell lengths 5.841, 5.841, 5.841 Å; angles 90.00, 90.00, 90.00 degrees
Fractional coordinates of all 16 atoms:
V1 0.000 0.000 0.000
V2 0.000 0.500 0.500
V3 0.500 0.000 0.500
V4 0.500 0.500 0.000
Re1 0.250 0.250 0.250
Re2 0.250 0.250 0.750
Re3 0.250 0.750 0.250
Re4 0.250 0.750 0.750
Re5 0.750 0.250 0.250
Re6 0.750 0.250 0.750
Re7 0.750 0.750 0.250
Re8 0.750 0.750 0.750
H1 0.000 0.000 0.500
H2 0.000 0.500 0.000
H3 0.500 0.000 0.000
H4 0.500 0.500 0.500

Results
Polymorph energy (0 for the lowest one) ... 420 meV/atom
Crystal system ... cubic
Space-group type ... Fm-3m (225)